This record from the Alexandria database describes a relaxed structure of TcAgPb2. The functional is PBE.

N(E_F) ... 2.80 states/eV/f.u.
E_tot ... -4.653 eV per atom

Cell and atoms, written as POSCAR:
```
TcAgPb2
1.0
3.559 0.000 0.000
0.000 3.559 0.000
0.000 0.000 6.719
Ag Pb Tc
1 2 1
Direct
0.500 0.500 0.750 Ag
0.000 0.000 0.016 Pb
0.000 0.000 0.484 Pb
0.500 0.500 0.250 Tc
```

=====

This record from the Alexandria database describes a relaxed structure of TcAgPb2. The functional is PBE.

N(E_F) ... 3.78 states/eV/f.u.
E_tot ... -4.352 eV per atom

Cell and atoms, written as POSCAR:
```
TcAgPb2
1.0
-3.098 2.691 -2.941
-0.190 -0.907 -4.963
-4.089 -2.172 -2.014
Ag Pb Tc
1 2 1
Direct
0.500 0.500 0.500 Ag
0.000 0.000 0.000 Pb
0.250 0.250 0.250 Pb
0.750 0.750 0.750 Tc
```

=====

This record from the Alexandria database describes a relaxed structure of TcAg2Pb2. The functional is PBE.

N(E_F) ... 2.73 states/eV/f.u.
E_tot ... -3.723 eV per atom

Cell and atoms, written as POSCAR:
```
TcAg2Pb2
1.0
4.434 0.000 0.000
0.000 4.434 0.000
2.217 2.217 6.493
Pb Tc Ag
2 1 2
Direct
0.750 0.250 0.500 Pb
0.250 0.750 0.500 Pb
0.000 0.000 0.000 Tc
0.401 0.401 0.198 Ag
0.599 0.599 0.802 Ag
```

=====

This record from the Alexandria database describes a relaxed structure of TcAgPb2. The functional is PBE.

N(E_F) ... 3.26 states/eV/f.u.
E_tot ... -4.547 eV per atom

Cell and atoms, written as POSCAR:
```
TcAgPb2
1.0
4.912 0.002 -0.001
3.754 3.167 -0.001
1.112 0.407 5.677
Ag Pb Tc
1 2 1
Direct
0.250 0.250 0.250 Ag
0.011 0.011 0.979 Pb
0.489 0.489 0.521 Pb
0.750 0.750 0.750 Tc
```

=====

Among the records above, which one has the highest E_tot?
TcAg2Pb2